LiGeB: optimized geometry, GGA-PBE.

```
6
Lattice="-2.2516 4.7888 0.9401 -0.6255 0.0452 5.3378 2.7009 1.2098 0.3063" Properties=species:S:1:pos:R:3 pbc="T T T"
Ge 0.7964 4.7861 2.3390
Ge -0.9726 1.2577 4.2451
B 1.3504 0.6049 0.1531
B -0.0881 3.0219 3.2921
Li -0.7193 1.2085 1.5695
Li -2.1578 3.6255 4.7084
```

Calculated values
VASP energy = -3.90 eV per atom
Symmetry = No. 67
N(E_F) = 0.35 states/eV per atom

=====

Ce5Bi3Ir: optimized geometry, GGA-PBE.

```
18
Lattice="-4.3752 4.1686 -2.5206 -0.2689 -5.1758 -8.0928 -6.0530 -2.0056 7.1898" Properties=species:S:1:pos:R:3 pbc="T T T"
Ce -4.1250 -3.0623 2.0956
Ce -4.3846 -2.0348 -4.2589
Ce -2.1970 -4.1191 -2.9986
Ce -6.3126 -0.9781 0.8353
Ce -3.4852 -0.7947 -8.0215
Ce -4.8139 1.3856 -2.1094
Ce -7.8671 1.6070 3.5565
Ce -1.1590 -0.2125 -2.5920
Ce -5.8832 -4.3984 -1.3143
Ce -2.5611 0.5559 1.1128
Bi -3.3874 1.0878 -5.0780
Bi -7.1133 -1.2264 -2.4378
Bi -5.6656 2.3364 0.9415
Bi -1.2568 -2.0950 -5.5354
Bi -3.5839 -1.7865 -0.9858
Bi -4.7627 -0.1735 3.7278
Ir 0.0000 0.0000 0.0000
Ir -2.1876 2.0843 -1.2603
```

Calculated values
VASP energy = -6.31 eV per atom
Symmetry = No. 193
N(E_F) = 3.04 states/eV per atom

=====

TiW: optimized geometry, GGA-PBE.

```
16
Lattice="-6.0117 5.1130 -0.4529 -4.6275 -5.7004 -2.9291 -1.2754 -1.1268 4.2078" Properties=species:S:1:pos:R:3 pbc="T T T"
Ti -9.5574 0.4974 -0.3156
Ti -2.3572 -2.2117 1.1413
Ti -7.0322 -4.3992 -0.8615
Ti -4.8824 2.6850 1.6872
Ti -6.1327 3.2147 -0.9979
Ti -4.5065 -3.8022 -2.3841
Ti -8.7442 -0.8528 -2.8787
Ti -1.8951 0.2653 -0.5033
W -6.6062 0.8537 0.6743
W -5.3084 -2.5679 0.1514
W -7.6082 -1.3852 -0.2289
W -4.3064 -0.3291 1.0547
W -7.4656 1.2187 -1.9364
W -3.1737 -1.8061 -1.4456
W -6.6608 -2.3521 -2.6487
W -3.9785 1.7646 -0.7333
```

Calculated values
VASP energy = -10.07 eV per atom
Symmetry = No. 83
N(E_F) = 1.63 states/eV per atom

=====

Cs2MnAu: optimized geometry, GGA-PBE.

```
4
Lattice="0.0000 4.4637 4.4637 4.4637 0.0000 4.4637 4.4637 4.4637 0.0000" Properties=species:S:1:pos:R:3 pbc="T T T"
Cs 2.2318 2.2318 2.2318
Cs 6.6955 6.6955 6.6955
Mn 0.0000 0.0000 0.0000
Au 4.4637 4.4637 4.4637
```

Calculated values
VASP energy = -3.01 eV per atom
Symmetry = No. 225
N(E_F) = 2.11 states/eV per atom

=====

BaHfCdTc2: optimized geometry, GGA-PBE.

```
5
Lattice="4.9735 0.0000 0.0000 0.0000 5.2559 0.0000 0.0000 0.0000 4.9735" Properties=species:S:1:pos:R:3 pbc="T T T"
Tc 0.0000 0.0000 2.4867
Tc 2.4867 0.0000 0.0000
Hf 0.0000 2.6279 0.0000
Ba 0.0000 0.0000 0.0000
Cd 2.4867 2.6279 2.4867
```

Calculated values
VASP energy = -4.27 eV per atom
Symmetry = No. 123
N(E_F) = 1.16 states/eV per atom

=====

AsP2SO: optimized geometry, GGA-PBE.

```
5
Lattice="4.6670 0.0000 0.0000 0.0000 4.6670 0.0000 0.0000 0.0000 3.4640" Properties=species:S:1:pos:R:3 pbc="T T T"
P 0.0000 2.3335 0.0000
P 2.3335 0.0000 0.0000
As 2.3335 2.3335 1.7320
S 0.0000 0.0000 0.0000
O 0.0000 0.0000 1.7320
```

Calculated values
Polymorph energy (0 for the lowest one) = 0.000 eV/f.u.
Formation energy (no corrections) = 2.46 eV per formula unit
VASP energy = -4.42 eV per atom
Symmetry = No. 123
N(E_F) = 0.30 states/eV per atom

=====

SiSbBr: optimized geometry, GGA-PBE.

```
3
Lattice="-0.1575 -4.6301 1.3047 3.3890 -3.0508 -1.5400 3.2536 -1.7417 3.0895" Properties=species:S:1:pos:R:3 pbc="T T T"
Br 0.0000 0.0000 0.0000
Sb 3.2426 -4.7113 1.4271
Si 4.8639 -7.0669 2.1406
```

Calculated values
Polymorph energy (0 for the lowest one) = 1.038 eV/f.u.
Formation energy (no corrections) = 1.09 eV per formula unit
VASP energy = -3.38 eV per atom
Symmetry = No. 216
N(E_F) = 0.63 states/eV per atom

=====

Zr2In2Ag: optimized geometry, GGA-PBE.

```
10
Lattice="7.1125 0.0000 0.0000 0.0000 7.1125 0.0000 0.0000 0.0000 4.4199" Properties=species:S:1:pos:R:3 pbc="T T T"
Zr 1.1543 4.7106 2.2099
Zr 4.7106 5.9582 2.2099
Zr 5.9582 2.4019 2.2099
Zr 2.4019 1.1543 2.2099
Ag 0.0000 0.0000 0.0000
Ag 3.5562 3.5562 0.0000
In 2.5516 6.1079 0.0000
In 6.1079 4.5609 0.0000
In 4.5609 1.0046 0.0000
In 1.0046 2.5516 0.0000
```

Calculated values
Polymorph energy (0 for the lowest one) = 0.254 eV/f.u.
VASP energy = -5.19 eV per atom
Symmetry = No. 127
N(E_F) = 0.57 states/eV per atom

=====

Sc4Bi2H: optimized geometry, GGA-PBE.

```
14
Lattice="5.9237 0.0000 -0.2352 0.0000 6.0972 0.0000 -2.4331 0.0000 8.3320" Properties=species:S:1:pos:R:3 pbc="T T T"
Sc 2.4718 3.0571 2.4591
Sc -1.4363 4.5729 7.9268
Sc 4.9269 1.5243 0.1701
Sc 2.4718 6.0887 2.4591
Sc 3.8491 1.5243 5.3597
Sc 1.0188 0.0085 5.6377
Sc 1.0188 3.0401 5.6377
Sc -0.3585 4.5729 2.7372
Bi 4.0225 4.5729 0.0152
Bi -0.5319 1.5243 8.0817
Bi -0.2100 1.5243 3.2405
Bi 3.7006 4.5729 4.8564
H 1.3329 4.5729 1.6471
H 2.1577 1.5243 6.4497
```

Calculated values
Polymorph energy (0 for the lowest one) = 0.045 eV/f.u.
VASP energy = -5.75 eV per atom
Symmetry = No. 11
N(E_F) = 1.06 states/eV per atom

=====

HfMgNbRe: optimized geometry, GGA-PBE.

```
4
Lattice="4.6768 0.0000 0.0000 2.3384 4.0502 0.0000 2.3384 1.3501 3.8186" Properties=species:S:1:pos:R:3 pbc="T T T"
Re 2.3384 1.3501 0.9546
Nb 0.0000 0.0000 0.0000
Hf 4.6768 2.7001 1.9093
Mg 7.0152 4.0502 2.8639
```

Calculated values
VASP energy = -8.55 eV per atom
Symmetry = No. 216
N(E_F) = 0.26 states/eV per atom

=====

Y6TmPb: optimized geometry, GGA-PBE.

```
8
Lattice="9.2224 0.0066 0.1116 4.6063 7.3485 -0.2382 4.5644 2.3806 3.6873" Properties=species:S:1:pos:R:3 pbc="T T T"
Y 5.8463 5.2015 2.6347
Y 14.8253 8.8849 2.5909
Y 6.9117 2.2464 0.7073
Y 3.5678 0.8508 0.9698
Y 12.5468 4.5342 0.9260
Y 11.4814 7.4893 2.8534
Tm 9.1966 4.8679 1.7803
Pb 0.0000 0.0000 0.0000
```

Calculated values
VASP energy = -5.92 eV per atom
Symmetry = No. 148
N(E_F) = 1.60 states/eV per atom

=====

Nd4CdIn: optimized geometry, GGA-PBE.

```
6
Lattice="5.2442 -0.0003 -0.0021 -0.0005 5.2442 -0.0029 0.0029 0.0050 7.7315" Properties=species:S:1:pos:R:3 pbc="T T T"
Nd 2.6291 5.2313 1.9307
Nd 2.6305 5.2337 5.7641
Nd 0.0087 2.6118 5.7667
Nd 0.0072 2.6094 1.9331
Cd 0.0080 5.2320 3.8483
In 2.6319 2.6123 7.7147
```

Calculated values
Polymorph energy (0 for the lowest one) = 1.401 eV/f.u.
VASP energy = -3.80 eV per atom
Symmetry = No. 123
N(E_F) = 1.85 states/eV per atom

=====

BaAs2AuO8: optimized geometry, GGA-PBE.

```
12
Lattice="-2.6228 -1.4619 4.0861 0.5827 -4.6878 1.8433 5.5170 0.6667 6.9261" Properties=species:S:1:pos:R:3 pbc="T T T"
Ba 0.0000 0.0000 0.0000
As 2.4662 -4.1742 9.5286
As 1.0107 -1.3087 3.3269
Au 1.7385 -2.7415 6.4277
O 3.7296 -3.6204 10.5377
O -0.2527 -1.8625 2.3178
O 0.5424 -1.7256 4.9418
O 1.9924 -2.8093 8.5728
O 3.8362 -3.2548 6.5089
O 1.6849 -4.2853 4.9163
O -0.1880 -3.6058 6.8883
O 2.5629 -0.7680 6.7383
```

Calculated values
Formation energy (no corrections) = -12.59 eV per formula unit
VASP energy = -5.56 eV per atom
Symmetry = No. 155
N(E_F) = 0.45 states/eV per atom

=====

Dy3NiPt: optimized geometry, GGA-PBE.

```
10
Lattice="-3.3979 -1.4240 1.2534 2.6153 -0.5682 6.4444 -2.7793 8.2638 1.8552" Properties=species:S:1:pos:R:3 pbc="T T T"
Dy -0.7425 -1.0316 5.8772
Dy -2.8194 7.3033 3.6757
Dy -1.8198 3.9089 8.5705
Dy -3.0807 4.1829 5.4636
Dy -1.7421 2.3628 0.9825
Dy -0.4812 2.0888 4.0893
Ni -1.7282 1.8993 6.5351
Ni -1.8337 4.3724 3.0179
Pt -2.3590 0.1707 2.8609
Pt -1.2029 6.1010 6.6921
```

Calculated values
VASP energy = -5.76 eV per atom
Symmetry = No. 59
N(E_F) = 0.98 states/eV per atom

=====

Li2ZnPd: optimized geometry, GGA-PBE.

```
4
Lattice="2.8013 0.0000 0.0000 1.4006 2.4260 0.0000 1.4006 0.8087 8.7271" Properties=species:S:1:pos:R:3 pbc="T T T"
Li 1.4006 0.8087 6.6696
Li 1.4006 0.8087 2.0577
Zn 2.8013 1.6173 4.3604
Pd 2.8013 1.6173 0.0029
```

Calculated values
VASP energy = -2.83 eV per atom
Symmetry = No. 160
N(E_F) = 0.53 states/eV per atom

=====

GeB2Cl: optimized geometry, GGA-PBE.

```
8
Lattice="-2.1952 1.5326 -4.2318 -4.1743 -2.4538 1.2767 -4.8935 3.6894 0.9119" Properties=species:S:1:pos:R:3 pbc="T T T"
Ge 0.0000 0.0000 0.0000
Ge -5.1367 2.3807 -2.3987
B -3.2302 1.6524 -2.4751
B -3.9937 -0.4986 0.7148
B -5.8438 2.5479 -0.4899
B -9.4583 1.8347 -1.8360
Cl -3.1848 -0.4606 -1.4775
Cl -6.1263 0.3875 0.3556
```

Calculated values
Polymorph energy (0 for the lowest one) = 0.000 eV/f.u.
Formation energy (no corrections) = 3.96 eV per formula unit
VASP energy = -3.97 eV per atom
Symmetry = No. 122
N(E_F) = 0.72 states/eV per atom

=====

YPuMgPb: optimized geometry, GGA-PBE.

```
4
Lattice="5.3958 0.0000 0.0000 2.6979 4.6729 0.0000 2.6979 1.5576 4.4057" Properties=species:S:1:pos:R:3 pbc="T T T"
Pb 0.0000 0.0000 0.0000
Y 8.0938 4.6729 3.3043
Mg 5.3958 3.1153 2.2028
Pu 2.6979 1.5576 1.1014
```

Calculated values
VASP energy = -6.66 eV per atom
Symmetry = No. 216
N(E_F) = 2.45 states/eV per atom

=====

Sm6In2Ru: optimized geometry, GGA-PBE.

```
9
Lattice="5.3173 0.0000 -0.2048 0.0000 7.3275 0.0000 -2.3698 -3.6637 7.5659" Properties=species:S:1:pos:R:3 pbc="T T T"
Sm 0.0869 1.7834 2.2629
Sm 2.8605 -1.8803 5.0982
Sm 2.8605 1.8803 5.0982
Sm 2.6586 1.6554 -0.1024
Sm 0.0869 5.5440 2.2629
Sm 2.6586 5.6721 -0.1024
In 2.7556 3.6637 2.4102
In 0.1919 0.0000 4.9509
Ru 0.0000 0.0000 0.0000
```

Calculated values
Polymorph energy (0 for the lowest one) = 1.698 eV/f.u.
VASP energy = -4.92 eV per atom
Symmetry = No. 71
N(E_F) = 1.25 states/eV per atom

=====

AcPm7Sn2: optimized geometry, GGA-PBE.

```
10
Lattice="5.8712 0.0000 0.0000 0.0000 9.0072 -0.1687 0.0000 -4.1249 8.0090" Properties=species:S:1:pos:R:3 pbc="T T T"
Ac 0.0000 0.0000 0.0000
Pm 0.0000 5.7406 1.8654
Pm 0.0000 -0.8584 5.9748
Pm 2.9356 -0.7697 2.4472
Pm 2.9356 5.6520 5.3930
Pm 2.9356 2.5358 0.3888
Pm 2.9356 2.3465 7.4515
Pm 2.9356 2.4411 3.9201
Sn 2.9356 5.0438 2.2994
Sn 2.9356 -0.1615 5.5408
```

Calculated values
VASP energy = -4.41 eV per atom
Symmetry = No. 65
N(E_F) = 2.13 states/eV per atom

=====

Sc2InCu: optimized geometry, GGA-PBE.

```
4
Lattice="4.8360 0.0000 0.0000 2.4180 4.1881 0.0000 2.4180 1.3960 3.9486" Properties=species:S:1:pos:R:3 pbc="T T T"
Cu 4.8360 2.7921 1.9743
In 2.4180 1.3960 0.9871
Sc 0.0000 0.0000 0.0000
Sc 7.2540 4.1881 2.9614
```

Calculated values
VASP energy = -4.90 eV per atom
Symmetry = No. 216
N(E_F) = 1.45 states/eV per atom